! GGA+U TlNi2O, relaxed; values from VASP
&SYSTEM
  ibrav = 0, nat = 4, ntyp = 3
/
ATOMIC_SPECIES
Tl 204.38 Tl.upf
Ni 58.69 Ni.upf
O 16.00 O.upf
ATOMIC_POSITIONS crystal
Tl 0.500 0.500 0.500
Ni 0.250 0.250 0.250
Ni 0.750 0.750 0.750
O 0.000 0.000 0.000
CELL_PARAMETERS angstrom
0.000 2.997 2.997
2.997 0.000 2.997
2.997 2.997 0.000
! Spin magnetization ... 1.3 Bohr magnetons per cell
! Offset from the most stable computed form ... 1026 meV per atom